An optimized crystal structure of TbGe5, computed with PBE.

Calculated values
V, A^3/atom: 20.20
Symmetry: No. 65
Energy of formation, eV per atom: -0.11

a b c (Å): 3.730 4.820 7.158
angles (deg): 109.68 90.00 90.00
Positions (direct):
Ge1 0.000 0.654 0.308
Ge2 0.000 0.346 0.692
Ge3 0.500 0.500 0.000
Ge4 0.500 0.189 0.378
Ge5 0.500 0.811 0.622
Tb1 0.000 0.000 0.000